A plane-wave DFT calculation with GGA-PBEsol was carried out for a relaxed ZrSc2Ru crystal.

Output
Total energy ... -8.447 eV/atom

POSCAR file:
```
ZrSc2Ru
1.0
3.303 0.000 0.000
0.000 4.853 0.000
-1.651 -2.427 4.868
Ru Sc Zr
1 2 1
Cartesian
0.000 2.427 2.408
1.651 2.427 4.477
1.651 0.000 2.450
1.651 2.427 0.402
```